one.
Compound: LaBiPtS2
Source: the Alexandria database
Functional: GGA-PBE
Structure: optimized geometry

a = 5.031 Å, b = 6.482 Å, c = 5.031 Å
α = 90.00°, β = 90.00°, γ = 90.00°
Atoms (fractional coordinates):
1 S 0.000 0.000 0.500
2 S 0.500 0.000 0.000
3 Bi 0.000 0.000 0.000
4 Pt 0.500 0.500 0.500
5 La 0.000 0.500 0.000

two.
Compound: LaBiPtS2
Source: the Alexandria database
Functional: GGA-PBE
Structure: optimized geometry

a = 5.242 Å, b = 5.094 Å, c = 5.242 Å
α = 90.00°, β = 90.00°, γ = 90.00°
Atoms (fractional coordinates):
1 S 0.000 0.000 0.500
2 S 0.500 0.000 0.000
3 Bi 0.000 0.000 0.000
4 Pt 0.000 0.500 0.000
5 La 0.500 0.500 0.500

Which one sits at the bottom of the stability order? one does.

one.
Compound: LaPuBi2
Source: the Alexandria database
Functional: GGA-PBE
Structure: optimized geometry

a = 4.578 Å, b = 4.579 Å, c = 7.980 Å
α = 90.00°, β = 90.00°, γ = 120.00°
Atoms (fractional coordinates):
1 La 0.000 0.500 0.500
2 Pu 0.000 0.500 0.000
3 Bi 0.667 0.833 0.760
4 Bi 0.333 0.167 0.240

two.
Compound: LaPuBi2
Source: the Alexandria database
Functional: GGA-PBE
Structure: optimized geometry

a = 4.631 Å, b = 4.631 Å, c = 7.991 Å
α = 73.16°, β = 73.16°, γ = 60.00°
Atoms (fractional coordinates):
1 La 0.000 0.000 0.000
2 Bi 0.754 0.754 0.739
3 Bi 0.246 0.246 0.261
4 Pu 0.500 0.500 0.500

Which one sits at the bottom of the stability order? one does.

one.
Compound: LaPuBi2
Source: the Alexandria database
Functional: GGA-PBE
Structure: optimized geometry

a = 3.844 Å, b = 3.844 Å, c = 8.391 Å
α = 90.00°, β = 90.00°, γ = 90.00°
Atoms (fractional coordinates):
1 La 0.500 0.500 0.500
2 Bi 0.000 0.000 0.759
3 Bi 0.000 0.000 0.241
4 Pu 0.500 0.500 0.000

two.
Compound: LaPuBi2
Source: the Alexandria database
Functional: GGA-PBE
Structure: optimized geometry

a = 3.443 Å, b = 5.998 Å, c = 5.998 Å
α = 90.00°, β = 90.00°, γ = 90.00°
Atoms (fractional coordinates):
1 La 0.500 0.500 0.500
2 Bi 0.000 0.000 0.500
3 Bi 0.000 0.500 0.000
4 Pu 0.500 0.000 0.000

three.
Compound: LaPuBi2
Source: the Alexandria database
Functional: GGA-PBE
Structure: optimized geometry

a = 5.622 Å, b = 5.622 Å, c = 5.622 Å
α = 60.00°, β = 60.00°, γ = 60.00°
Atoms (fractional coordinates):
1 La 0.000 0.000 0.000
2 Bi 0.250 0.250 0.250
3 Bi 0.750 0.750 0.750
4 Pu 0.500 0.500 0.500

four.
Compound: LaPuBi2
Source: the Alexandria database
Functional: GGA-PBE
Structure: optimized geometry

a = 4.578 Å, b = 4.578 Å, c = 8.275 Å
α = 73.94°, β = 73.94°, γ = 60.00°
Atoms (fractional coordinates):
1 La 0.498 0.498 0.506
2 Pu 0.668 0.668 0.995
3 Bi 0.079 0.079 0.764
4 Bi 0.255 0.255 0.235

Which one sits at the bottom of the stability order? three does.

one.
Compound: RbLa2Bi2
Source: the Alexandria database
Functional: GGA-PBE
Structure: optimized geometry

a = 5.475 Å, b = 5.475 Å, c = 8.755 Å
α = 71.78°, β = 71.78°, γ = 90.00°
Atoms (fractional coordinates):
1 Bi 0.367 0.367 0.266
2 Bi 0.633 0.633 0.734
3 Rb 0.000 0.000 0.000
4 La 0.750 0.250 0.500
5 La 0.250 0.750 0.500

two.
Compound: RbLa2Bi2
Source: the Alexandria database
Functional: GGA-PBE
Structure: optimized geometry

a = 9.421 Å, b = 9.421 Å, c = 4.208 Å
α = 90.00°, β = 90.00°, γ = 90.00°
Atoms (fractional coordinates):
1 Bi 0.347 0.847 0.000
2 Bi 0.847 0.653 0.000
3 Bi 0.653 0.153 0.000
4 Bi 0.153 0.347 0.000
5 Rb 0.000 0.000 0.000
6 Rb 0.500 0.500 0.000
7 La 0.140 0.640 0.500
8 La 0.640 0.860 0.500
9 La 0.860 0.360 0.500
10 La 0.360 0.140 0.500

Which one sits at the bottom of the stability order? one does.